# SmSO6 | Alexandria | GGA-PBE | optimized geometry
# * raw total energy: -48.24 eV for the cell shown
# * D(E_F): 0.4 states/eV/f.u.
data_SmSO6
_chemical_formula_sum 'Sm1 S1 O6'
_cell_length_a 5.538
_cell_length_b 5.538
_cell_length_c 5.538
_cell_angle_alpha 58.79
_cell_angle_beta 58.79
_cell_angle_gamma 58.79
_space_group_name_H-M_alt 'P 1'
_space_group_IT_number 1
loop_
_space_group_symop_operation_xyz
'x,y,z'
loop_
_atom_site_label
_atom_site_type_symbol
_atom_site_fract_x
_atom_site_fract_y
_atom_site_fract_z
Sm1 Sm 0.000 0.000 0.000
S1 S 0.500 0.500 0.500
O1 O 0.235 0.358 0.703
O2 O 0.297 0.765 0.642
O3 O 0.358 0.703 0.235
O4 O 0.642 0.297 0.765
O5 O 0.703 0.235 0.358
O6 O 0.765 0.642 0.297

---

# Sm2S2O | Alexandria | GGA-PBE | optimized geometry
# * energy above the lowest structure with this stoichiometry: 0.00 eV/f.u.
# * raw total energy: -142.42 eV for the cell shown
# * D(E_F): 0.0 states/eV/f.u.
data_Sm2S2O
_chemical_formula_sum 'Sm8 S8 O4'
_cell_length_a 8.473
_cell_length_b 7.105
_cell_length_c 7.015
_cell_angle_alpha 90.00
_cell_angle_beta 98.82
_cell_angle_gamma 90.00
_space_group_name_H-M_alt 'P 1'
_space_group_IT_number 1
loop_
_space_group_symop_operation_xyz
'x,y,z'
loop_
_atom_site_label
_atom_site_type_symbol
_atom_site_fract_x
_atom_site_fract_y
_atom_site_fract_z
Sm1 Sm 0.079 0.138 0.317
Sm2 Sm 0.079 0.362 0.817
Sm3 Sm 0.362 0.555 0.249
Sm4 Sm 0.362 0.945 0.749
Sm5 Sm 0.638 0.055 0.251
Sm6 Sm 0.638 0.445 0.751
Sm7 Sm 0.921 0.638 0.183
Sm8 Sm 0.921 0.862 0.683
S1 S 0.178 0.640 0.569
S2 S 0.178 0.860 0.069
S3 S 0.423 0.224 0.471
S4 S 0.423 0.276 0.971
S5 S 0.577 0.724 0.029
S6 S 0.577 0.776 0.529
S7 S 0.822 0.140 0.931
S8 S 0.822 0.360 0.431
O1 O 0.117 0.088 0.649
O2 O 0.117 0.412 0.149
O3 O 0.883 0.588 0.851
O4 O 0.883 0.912 0.351

---

Number 1 is which compound?
SmSO6

---

Please write out number 2 again, unchanged.
# Sm2S2O | Alexandria | GGA-PBE | optimized geometry
# * energy above the lowest structure with this stoichiometry: 0.00 eV/f.u.
# * raw total energy: -142.42 eV for the cell shown
# * D(E_F): 0.0 states/eV/f.u.
data_Sm2S2O
_chemical_formula_sum 'Sm8 S8 O4'
_cell_length_a 8.473
_cell_length_b 7.105
_cell_length_c 7.015
_cell_angle_alpha 90.00
_cell_angle_beta 98.82
_cell_angle_gamma 90.00
_space_group_name_H-M_alt 'P 1'
_space_group_IT_number 1
loop_
_space_group_symop_operation_xyz
'x,y,z'
loop_
_atom_site_label
_atom_site_type_symbol
_atom_site_fract_x
_atom_site_fract_y
_atom_site_fract_z
Sm1 Sm 0.079 0.138 0.317
Sm2 Sm 0.079 0.362 0.817
Sm3 Sm 0.362 0.555 0.249
Sm4 Sm 0.362 0.945 0.749
Sm5 Sm 0.638 0.055 0.251
Sm6 Sm 0.638 0.445 0.751
Sm7 Sm 0.921 0.638 0.183
Sm8 Sm 0.921 0.862 0.683
S1 S 0.178 0.640 0.569
S2 S 0.178 0.860 0.069
S3 S 0.423 0.224 0.471
S4 S 0.423 0.276 0.971
S5 S 0.577 0.724 0.029
S6 S 0.577 0.776 0.529
S7 S 0.822 0.140 0.931
S8 S 0.822 0.360 0.431
O1 O 0.117 0.088 0.649
O2 O 0.117 0.412 0.149
O3 O 0.883 0.588 0.851
O4 O 0.883 0.912 0.351

---

Please write out number 1 again, unchanged.
# SmSO6 | Alexandria | GGA-PBE | optimized geometry
# * raw total energy: -48.24 eV for the cell shown
# * D(E_F): 0.4 states/eV/f.u.
data_SmSO6
_chemical_formula_sum 'Sm1 S1 O6'
_cell_length_a 5.538
_cell_length_b 5.538
_cell_length_c 5.538
_cell_angle_alpha 58.79
_cell_angle_beta 58.79
_cell_angle_gamma 58.79
_space_group_name_H-M_alt 'P 1'
_space_group_IT_number 1
loop_
_space_group_symop_operation_xyz
'x,y,z'
loop_
_atom_site_label
_atom_site_type_symbol
_atom_site_fract_x
_atom_site_fract_y
_atom_site_fract_z
Sm1 Sm 0.000 0.000 0.000
S1 S 0.500 0.500 0.500
O1 O 0.235 0.358 0.703
O2 O 0.297 0.765 0.642
O3 O 0.358 0.703 0.235
O4 O 0.642 0.297 0.765
O5 O 0.703 0.235 0.358
O6 O 0.765 0.642 0.297